Record 1
## Ac3CeGe2 (PBE)

Data for Ac3CeGe2 after structural relaxation.

```
12
Lattice="-3.3336 8.7470 3.3282 3.3336 -8.7470 3.3282 3.3336 8.7470 -3.3282" Properties=species:S:1:pos:R:3 pbc="T T T"
Ac 4.9696 3.1576 0.0000
Ac 0.0000 0.0000 1.6641
Ac 1.6360 5.5893 0.0000
Ac 1.6976 3.1576 3.3282
Ac 0.0000 0.0000 4.9923
Ac -1.6360 5.5893 3.3282
Ce 3.3336 0.0000 1.6641
Ce 0.0000 8.7470 1.6641
Ge 1.7380 2.2798 0.0000
Ge 1.7380 -2.2798 3.3282
Ge 1.5956 11.0267 0.0000
Ge 1.5956 6.4672 3.3282
```

Properties
- mass density (g/cm³) = 8.3
- DOS(E_F) (states/eV per cell) = 20.44
- total energy (eV per atom) = -5.045
- ΔH_f (0 K) (meV/atom) = -463

Record 2
## Ac2Ce4Ge3H2 (PBE)

Data for Ac2Ce4Ge3H2 after structural relaxation.

```
11
Lattice="-2.3275 2.3275 12.5321 2.3275 -2.3275 12.5321 2.3275 2.3275 -12.5321" Properties=species:S:1:pos:R:3 pbc="T T T"
Ac 0.0000 0.0000 5.0400
Ac 0.0000 0.0000 20.0243
Ce 2.3275 0.0000 1.9324
Ce 2.3275 0.0000 10.5997
Ce 0.0000 2.3275 1.9324
Ce 0.0000 2.3275 10.5997
Ge 0.0000 0.0000 8.4185
Ge 0.0000 0.0000 12.5321
Ge 0.0000 0.0000 16.6457
H 0.0000 0.0000 2.4702
H 0.0000 0.0000 22.5940
```

Properties
- mass density (g/cm³) = 7.5
- DOS(E_F) (states/eV per cell) = 21.01
- total energy (eV per atom) = -5.321

Record 3
## AcCeInGe (PBE)

Data for AcCeInGe after structural relaxation.

```
4
Lattice="0.0000 3.8895 3.8895 3.8895 0.0000 3.8895 3.8895 3.8895 0.0000" Properties=species:S:1:pos:R:3 pbc="T T T"
Ac 0.0000 0.0000 0.0000
Ce 3.8895 3.8895 3.8895
In 1.9448 1.9448 1.9448
Ge 5.8343 5.8343 5.8343
```

Properties
- mass density (g/cm³) = 7.8
- DOS(E_F) (states/eV per cell) = 8.18
- total energy (eV per atom) = -4.729
- ΔH_f (0 K) (meV/atom) = -379

Record 4
## Ac2CeGe4Ir3 (PBE)

Data for Ac2CeGe4Ir3 after structural relaxation.

```
10
Lattice="4.4002 0.0000 0.0000 0.0000 4.4002 0.0000 0.0000 0.0000 11.3454" Properties=species:S:1:pos:R:3 pbc="T T T"
Ac 0.0000 2.2001 2.5967
Ac 2.2001 0.0000 8.7487
Ce 0.0000 0.0000 5.6727
Ge 0.0000 0.0000 0.0000
Ge 0.0000 2.2001 7.5937
Ge 2.2001 0.0000 3.7517
Ge 2.2001 2.2001 0.0000
Ir 0.0000 2.2001 10.0908
Ir 2.2001 0.0000 1.2546
Ir 2.2001 2.2001 5.6727
```

Properties
- mass density (g/cm³) = 11.0
- DOS(E_F) (states/eV per cell) = 7.69
- total energy (eV per atom) = -6.606
- ΔH_f (0 K) (meV/atom) = -686

Record 5
## AcCeGe2Ir2 (PBE)

Data for AcCeGe2Ir2 after structural relaxation.

```
6
Lattice="4.3513 0.0000 0.0000 -2.1756 3.7683 0.0000 0.0000 0.0000 8.2150" Properties=species:S:1:pos:R:3 pbc="T T T"
Ac 0.0000 0.0000 0.0000
Ce 0.0000 0.0000 4.1075
Ge 0.0000 2.5122 2.2265
Ge 2.1756 1.2561 5.9884
Ir 0.0000 2.5122 5.9693
Ir 2.1756 1.2561 2.2456
```

Properties
- mass density (g/cm³) = 11.1
- DOS(E_F) (states/eV per cell) = 7.00
- total energy (eV per atom) = -6.966
- ΔH_f (0 K) (meV/atom) = -799

Record 6
## LiAcCeGe (PBE)

Data for LiAcCeGe after structural relaxation.

```
4
Lattice="0.0000 3.7933 3.7933 3.7933 0.0000 3.7933 3.7933 3.7933 0.0000" Properties=species:S:1:pos:R:3 pbc="T T T"
Li 0.0000 0.0000 0.0000
Ac 5.6899 5.6899 5.6899
Ce 1.8966 1.8966 1.8966
Ge 3.7933 3.7933 3.7933
```

Properties
- mass density (g/cm³) = 6.8
- DOS(E_F) (states/eV per cell) = 10.23
- total energy (eV per atom) = -4.377
- ΔH_f (0 K) (meV/atom) = -234

Record 7
## AcCeMgGe2 (PBE)

Data for AcCeMgGe2 after structural relaxation.

```
5
Lattice="-2.3056 2.3056 6.2771 2.3056 -2.3056 6.2771 2.3056 2.3056 -6.2771" Properties=species:S:1:pos:R:3 pbc="T T T"
Ac 0.0000 0.0000 0.0000
Ce 0.0000 2.3056 3.1386
Mg 2.3056 0.0000 3.1386
Ge 0.0000 0.0000 4.9600
Ge 0.0000 0.0000 7.5943
```

Properties
- mass density (g/cm³) = 6.7
- DOS(E_F) (states/eV per cell) = 6.24
- total energy (eV per atom) = -4.717
- ΔH_f (0 K) (meV/atom) = -542

Record 8
## AcCeMgGe (PBE)

Data for AcCeMgGe after structural relaxation.

```
4
Lattice="0.0000 3.8536 3.8536 3.8536 0.0000 3.8536 3.8536 3.8536 0.0000" Properties=species:S:1:pos:R:3 pbc="T T T"
Ac 0.0000 0.0000 0.0000
Ce 3.8536 3.8536 3.8536
Mg 1.9268 1.9268 1.9268
Ge 5.7803 5.7803 5.7803
```

Properties
- mass density (g/cm³) = 6.7
- DOS(E_F) (states/eV per cell) = 9.44
- total energy (eV per atom) = -4.287
- ΔH_f (0 K) (meV/atom) = -223

Record 9
## Ac2Ce4Ge3N2 (PBE)

Data for Ac2Ce4Ge3N2 after structural relaxation.

```
11
Lattice="-2.3577 2.3577 12.6912 2.3577 -2.3577 12.6912 2.3577 2.3577 -12.6912" Properties=species:S:1:pos:R:3 pbc="T T T"
Ac 0.0000 0.0000 5.0229
Ac 0.0000 0.0000 20.3594
Ce 2.3577 0.0000 2.0072
Ce 2.3577 0.0000 10.6840
Ce 0.0000 2.3577 2.0072
Ce 0.0000 2.3577 10.6840
Ge 0.0000 0.0000 8.4460
Ge 0.0000 0.0000 12.6912
Ge 0.0000 0.0000 16.9363
N 0.0000 0.0000 2.4448
N 0.0000 0.0000 22.9376
```

Properties
- mass density (g/cm³) = 7.4
- DOS(E_F) (states/eV per cell) = 17.33
- energy relative to the elements, uncorrected (eV/atom) = -0.940
- total energy (eV per atom) = -6.618

Record 10
## AcCe2GeN5 (PBE)

Data for AcCe2GeN5 after structural relaxation.

```
18
Lattice="-3.3736 3.3736 5.7320 3.3736 -3.3736 5.7320 3.3736 3.3736 -5.7320" Properties=species:S:1:pos:R:3 pbc="T T T"
Ac 0.0000 0.0000 2.8660
Ac 0.0000 0.0000 8.5980
Ce 4.6113 1.2377 0.0000
Ce 1.2377 2.1359 0.0000
Ce 2.1359 1.2377 5.7320
Ce -1.2377 2.1359 5.7320
Ge 3.3736 0.0000 2.8660
Ge 0.0000 3.3736 2.8660
N 0.0000 0.0000 0.0000
N 2.3822 0.9914 -1.6109
N 2.3822 -0.9914 4.1211
N 2.3822 0.9914 1.6109
N 2.3822 -0.9914 7.3430
N 0.0000 0.0000 5.7320
N 0.9914 4.3650 -1.6109
N 0.9914 2.3822 4.1211
N 0.9914 4.3650 1.6109
N 0.9914 2.3822 7.3430
```

Properties
- mass density (g/cm³) = 8.3
- energy relative to the elements, uncorrected (eV/atom) = -1.098
- total energy (eV per atom) = -8.012

Record 11
## Ac2CeGe2N6 (PBE)

Data for Ac2CeGe2N6 after structural relaxation.

```
11
Lattice="2.9903 1.7264 6.0669 -2.9903 1.7264 6.0669 0.0000 -3.4528 6.0669" Properties=species:S:1:pos:R:3 pbc="T T T"
Ac 0.0000 0.0000 3.7167
Ac 0.0000 0.0000 14.4839
Ce 0.0000 0.0000 0.0000
Ge 0.0000 0.0000 7.6456
Ge 0.0000 0.0000 10.5550
N -1.5445 -0.8917 10.4858
N 0.0000 -1.7835 7.7148
N -1.5445 0.8917 7.7148
N 1.5445 -0.8917 10.4858
N 0.0000 1.7835 10.4858
N 1.5445 0.8917 7.7148
```

Properties
- mass density (g/cm³) = 7.3
- energy relative to the elements, uncorrected (eV/atom) = -0.667
- total energy (eV per atom) = -7.334

Record 12
## Ac2Ce2Ge2N (PBE)

Data for Ac2Ce2Ge2N after structural relaxation.

```
7
Lattice="-2.3810 2.3810 8.3632 2.3810 -2.3810 8.3632 2.3810 2.3810 -8.3632" Properties=species:S:1:pos:R:3 pbc="T T T"
Ac 0.0000 0.0000 2.9078
Ac 0.0000 0.0000 13.8187
Ce 2.3810 0.0000 0.0000
Ce 0.0000 2.3810 0.0000
Ge 0.0000 0.0000 6.2244
Ge 0.0000 0.0000 10.5020
N 0.0000 0.0000 0.0000
```

Properties
- mass density (g/cm³) = 7.8
- DOS(E_F) (states/eV per cell) = 9.06
- energy relative to the elements, uncorrected (eV/atom) = -0.909
- total energy (eV per atom) = -6.287

| no. | volume (Å³/f.u.) |
| --- | --- |
| 1 | 194.1 |
| 2 | 271.6 |
| 3 | 117.7 |
| 4 | 219.7 |
| 5 | 134.7 |
| 6 | 109.2 |
| 7 | 133.5 |
| 8 | 114.4 |
| 9 | 282.2 |
| 10 | 130.5 |
| 11 | 187.9 |
| 12 | 189.6 |